(1)
4
Lattice="1.918 -4.393 -2.016 -1.225 -4.587 2.123 -3.136 -3.284 -2.534" Properties=species:S:1:pos:R:3 comment="In2SiBr (PBE, optimized geometry)" mass_density_g_cm3=5.6 crystal_system=cubic polymorph_energy_mev_per_atom=251 pbc="T T T"
In -0.611 -3.066 -0.607
In -1.832 -9.198 -1.820
Si 0.000 0.000 0.000
Br -1.222 -6.132 -1.214

=====

(2)
20
Lattice="6.379 0.000 0.000 0.000 8.998 0.000 0.000 0.000 10.103" Properties=species:S:1:pos:R:3 comment="Dy3CdSn (PBE, optimized geometry)" mass_density_g_cm3=8.2 formation_energy_ev_per_atom=-0.252 crystal_system=orthorhombic pbc="T T T"
Dy 1.280 5.734 2.526
Dy 1.910 1.235 7.577
Dy 3.844 6.085 5.702
Dy 0.655 7.413 9.453
Dy 5.724 1.585 0.650
Dy 2.535 2.914 4.401
Dy 5.724 1.585 4.401
Dy 0.655 7.413 5.702
Dy 3.844 6.085 9.453
Dy 2.535 2.914 0.650
Dy 4.469 7.763 2.526
Dy 5.099 3.264 7.577
Sn 1.182 8.881 2.526
Sn 2.007 4.382 7.577
Sn 5.197 0.117 7.577
Sn 4.371 4.616 2.526
Cd 0.000 4.499 0.000
Cd 3.189 0.000 0.000
Cd 0.000 4.499 5.051
Cd 3.189 0.000 5.051

=====

(3)
10
Lattice="4.533 0.000 0.000 0.000 4.533 0.000 0.000 0.000 11.468" Properties=species:S:1:pos:R:3 comment="Sr2SmSn3Rh4 (PBE, optimized geometry)" mass_density_g_cm3=7.7 formation_energy_ev_per_atom=-0.670 crystal_system=tetragonal pbc="T T T"
Rh 0.000 0.000 0.000
Rh 2.267 2.267 0.000
Rh 2.267 0.000 7.391
Rh 0.000 2.267 4.077
Sn 0.000 2.267 1.391
Sn 2.267 0.000 10.077
Sn 0.000 0.000 5.734
Sr 2.267 0.000 2.649
Sr 0.000 2.267 8.818
Sm 2.267 2.267 5.734

=====

(4)
20
Lattice="7.087 0.429 0.723 -0.442 7.087 0.723 -1.215 -1.374 5.112" Properties=species:S:1:pos:R:3 comment="AcPaP2N6 (PBE, optimized geometry)" mass_density_g_cm3=7.4 final_energy_ev_per_atom=-8.475 crystal_system=monoclinic pbc="T T T"
N 3.919 3.217 4.228
N 1.511 2.924 2.330
N -0.640 3.440 4.485
N 2.110 1.171 4.886
N 4.100 0.473 1.930
N 5.113 5.590 3.651
N 0.318 0.552 2.907
N 4.314 5.072 6.207
N 3.320 4.971 1.672
N 1.116 1.070 0.351
N 6.071 2.701 2.072
N 1.330 5.669 4.628
Ac 4.920 0.509 4.557
Ac 0.510 5.632 2.001
P 0.483 1.787 1.761
P 4.324 6.131 2.241
P 1.107 0.011 4.317
P 4.948 4.355 4.797
Pa 3.879 2.654 2.001
Pa 1.552 3.488 4.557

=====

(5)
10
Lattice="-4.992 0.759 -5.388 -6.872 -1.657 1.051 -5.203 4.945 -0.361" Properties=species:S:1:pos:R:3 comment="Ac2YMnS6 (PBE, optimized geometry)" mass_density_g_cm3=5.3 final_energy_ev_per_atom=-6.551 crystal_system=triclinic pbc="T T T"
S -9.310 0.073 -0.089
S -7.796 3.323 -0.040
S -7.998 4.195 -3.571
S -5.445 1.562 -3.101
S -5.242 0.691 0.430
S -10.804 3.156 -2.001
Ac -4.872 3.603 -0.478
Ac -8.369 1.284 -2.662
Mn -4.019 -0.029 -1.391
Y -12.552 1.994 -3.739

=====

(6)
8
Lattice="-2.109 -2.546 -4.075 4.336 -6.536 5.188 -7.389 -1.248 4.603" Properties=species:S:1:pos:R:3 comment="CsKCd2 (PBE, optimized geometry)" mass_density_g_cm3=3.2 formation_energy_ev_per_atom=-0.064 crystal_system=monoclinic polymorph_energy_mev_per_atom=0 pbc="T T T"
Cd -1.451 -4.426 3.501
Cd -6.199 -6.323 3.766
Cd 1.037 -4.006 1.951
Cd -3.711 -5.903 2.216
K -0.461 -7.386 1.458
K -4.700 -2.944 4.259
Cs -2.923 -7.160 5.968
Cs -2.238 -3.170 -0.251

=====

(7)
14
Lattice="-3.190 -3.149 5.623 4.487 -3.299 0.698 4.740 7.055 2.878" Properties=species:S:1:pos:R:3 comment="BaCeAgS4 (PBE, optimized geometry)" mass_density_g_cm3=5.0 final_energy_ev_per_atom=-5.220 crystal_system=monoclinic pbc="T T T"
S 2.577 -2.918 3.494
S 3.460 3.525 5.705
S 7.626 1.721 2.946
S 1.278 0.302 4.499
S 4.759 0.305 4.699
S 5.642 3.181 2.638
S 0.395 -2.573 6.561
S -1.589 -1.114 6.252
Ba 5.508 1.889 7.377
Ba 0.529 -1.282 1.822
Ce 2.911 2.274 3.323
Ce 3.127 -1.666 5.876
Ag 2.005 1.704 6.454
Ag 4.033 -1.097 2.745

=====

(8)
14
Lattice="-1.588 -4.027 -3.180 4.005 -3.018 1.925 -4.525 -2.525 5.457" Properties=species:S:1:pos:R:3 comment="Ir2OsRh4 (PBE, optimized geometry)" mass_density_g_cm3=15.1 formation_energy_ev_per_atom=0.199 crystal_system=orthorhombic polymorph_energy_mev_per_atom=0 pbc="T T T"
Os 0.077 -4.154 0.737
Os -2.185 -5.416 3.466
Rh 0.585 -1.704 -0.304
Rh -1.678 -2.967 2.425
Rh -0.430 -6.603 1.777
Rh -1.925 -2.645 -0.225
Rh 0.871 -2.140 2.327
Rh 1.832 -5.341 -0.952
Rh -4.188 -3.907 2.503
Rh -1.391 -3.402 5.055
Ir -0.174 -3.772 -1.889
Ir -2.437 -5.035 0.839
Ir 0.329 -4.535 3.363
Ir 2.591 -3.273 0.634